1.
Entry from the Alexandria database: a relaxed CaAc2Ru2 crystal (PBE-GGA).

Unit cell a=8.135 b=8.135 c=4.595 alpha=90.00 beta=90.00 gamma=148.40
Fractional coordinates of all 5 atoms:
Ca: 0.000 0.000 0.000
Ac: 0.353 0.647 0.500
Ac: 0.647 0.353 0.500
Ru: 0.219 0.781 0.000
Ru: 0.781 0.219 0.000

For the calculated formation energy, the calculation gives -0.051 eV/atom. The value obtained for the magnetic moment is 0.000 μB/f.u. The energy relative to the lowest polymorph listed for this composition is 0.000 eV per atom.



2.
Entry from the Alexandria database: a relaxed CaAcRu crystal (PBE-GGA).

Unit cell a=6.404 b=6.404 c=8.174 alpha=123.29 beta=123.29 gamma=41.43
Fractional coordinates of all 6 atoms:
Ca: 0.194 0.194 0.089
Ca: 0.806 0.806 0.911
Ac: 0.413 0.413 0.638
Ac: 0.587 0.587 0.362
Ru: 0.131 0.131 0.628
Ru: 0.869 0.869 0.372

For the calculated formation energy, the calculation gives -0.038 eV/atom. The value obtained for the magnetic moment is 0.000 μB/f.u. The energy relative to the lowest polymorph listed for this composition is 0.000 eV per atom.



3.
Entry from the Alexandria database: a relaxed CaAcRu crystal (PBE-GGA).

Unit cell a=5.019 b=5.019 c=5.019 alpha=60.00 beta=60.00 gamma=60.00
Fractional coordinates of all 3 atoms:
Ca: 0.000 0.000 0.000
Ac: 0.500 0.500 0.500
Ru: 0.250 0.250 0.250

For the calculated formation energy, the calculation gives 0.080 eV/atom. The value obtained for the magnetic moment is 0.000 μB/f.u. The energy relative to the lowest polymorph listed for this composition is 0.117 eV per atom.



4.
Entry from the Alexandria database: a relaxed Ca2Ac7Ru2 crystal (PBE-GGA).

Unit cell a=8.030 b=8.030 c=7.935 alpha=97.34 beta=97.34 gamma=66.83
Fractional coordinates of all 11 atoms:
Ca: 0.193 0.807 0.000
Ca: 0.807 0.193 0.000
Ac: 0.000 0.000 0.500
Ac: 0.054 0.507 0.270
Ac: 0.436 0.436 0.684
Ac: 0.493 0.946 0.730
Ac: 0.507 0.054 0.270
Ac: 0.564 0.564 0.316
Ac: 0.946 0.493 0.730
Ru: 0.233 0.233 0.522
Ru: 0.767 0.767 0.478

For the calculated formation energy, the calculation gives 0.068 eV/atom. The value obtained for the magnetic moment is 0.000 μB/f.u. The energy relative to the lowest polymorph listed for this composition is 0.129 eV per atom.



5.
Entry from the Alexandria database: a relaxed CaAcRu4 crystal (PBE-GGA).

Unit cell a=5.472 b=5.472 c=5.472 alpha=60.00 beta=60.00 gamma=60.00
Fractional coordinates of all 6 atoms:
Ca: 0.000 0.000 0.000
Ac: 0.250 0.250 0.250
Ru: 0.123 0.626 0.626
Ru: 0.626 0.123 0.626
Ru: 0.626 0.626 0.123
Ru: 0.626 0.626 0.626

For the calculated formation energy, the calculation gives 0.102 eV/atom. The value obtained for the magnetic moment is 1.452 μB/f.u.



6.
Entry from the Alexandria database: a relaxed Ca2Ac7Ru2 crystal (PBE-GGA).

Unit cell a=11.313 b=11.313 c=11.313 alpha=159.60 beta=61.90 gamma=122.26
Fractional coordinates of all 11 atoms:
Ca: 0.000 0.000 0.000
Ca: 0.682 0.182 0.500
Ac: 0.012 0.183 0.829
Ac: 0.030 0.367 0.664
Ac: 0.326 0.826 0.500
Ac: 0.354 0.183 0.171
Ac: 0.374 0.534 0.840
Ac: 0.693 0.534 0.160
Ac: 0.703 0.367 0.336
Ru: 0.139 0.864 0.274
Ru: 0.590 0.864 0.726

For the calculated formation energy, the calculation gives -0.062 eV/atom. The value obtained for the magnetic moment is 0.001 μB/f.u. The energy relative to the lowest polymorph listed for this composition is 0.000 eV per atom.



no.,Fermi-level density of states (states/eV/atom)
1,1.10
2,0.82
3,1.32
4,1.29
5,1.73
6,1.13